Entry 1:
! NbHgBi2 PBE optimized geometry; values from VASP
! **M_tot**: 0.227 μB per atom
! **DFT total energy**: -31.2 eV/cell
! **Formation energy**: 633 meV per atom
! **Symmetry**: I-42d (122)
! **Mass density**: 7.89 g cm⁻³
&SYSTEM
  ibrav = 0, nat = 8, ntyp = 3
/
ATOMIC_SPECIES
Bi 208.98 Bi.upf
Nb 92.91 Nb.upf
Hg 200.59 Hg.upf
CELL_PARAMETERS angstrom
6.7794 0.0000 0.0000
0.0000 6.7794 0.0000
3.3897 3.3897 6.5162
ATOMIC_POSITIONS crystal
Bi 0.1569 0.6250 0.2500
Nb 0.5000 0.5000 0.0000
Bi 0.3750 0.4069 0.7500
Bi 0.5931 0.1250 0.2500
Hg 0.7500 0.2500 0.5000
Hg 0.0000 0.0000 0.0000
Nb 0.2500 0.7500 0.5000
Bi 0.8750 0.8431 0.7500

---

Entry 2:
! Tb3GaRu PBE optimized geometry; values from VASP
! **M_tot**: 0.000 μB per atom
! **Polymorph energy (0 for the lowest one)**: 0 meV/atom
! **DFT total energy**: -56.8 eV/cell
! **Formation energy**: -437 meV per atom
! **Symmetry**: Fmmm (69)
! **Mass density**: 8.90 g cm⁻³
&SYSTEM
  ibrav = 0, nat = 10, ntyp = 3
/
ATOMIC_SPECIES
Ru 101.07 Ru.upf
Ga 69.72 Ga.upf
Tb 158.93 Tb.upf
CELL_PARAMETERS angstrom
-5.4056 1.7817 0.7047
0.7953 -5.2506 2.1656
4.2581 4.9051 5.5336
ATOMIC_POSITIONS crystal
Ru 0.7500 0.7500 0.0000
Ga 0.6941 0.1941 0.5000
Tb 0.0802 0.2084 0.2886
Tb 0.2916 0.4197 0.7114
Tb 0.6955 0.1954 0.8909
Tb 0.7084 0.5803 0.2886
Ru 0.2500 0.2500 0.0000
Tb 0.3045 0.8046 0.1091
Ga 0.3059 0.8059 0.5000
Tb 0.9198 0.7916 0.7114

---

Entry 3:
! Pr4YTh PBE optimized geometry; values from VASP
! **M_tot**: 0.000 μB per atom
! **Polymorph energy (0 for the lowest one)**: 0 meV/atom
! **DFT total energy**: -32.8 eV/cell
! **Formation energy**: 40 meV per atom
! **Symmetry**: P-1 (2)
! **Mass density**: 7.02 g cm⁻³
&SYSTEM
  ibrav = 0, nat = 6, ntyp = 3
/
ATOMIC_SPECIES
Pr 140.91 Pr.upf
Th 232.04 Th.upf
Y 88.91 Y.upf
CELL_PARAMETERS angstrom
3.6561 -0.0019 -0.0083
-1.8150 7.8434 -5.4254
-0.0469 -5.3189 10.9769
ATOMIC_POSITIONS crystal
Pr 0.1716 0.3437 0.5071
Pr 0.8284 0.6560 0.4929
Th 0.0000 0.0000 0.0000
Pr 0.6658 0.3311 0.0033
Pr 0.3342 0.6691 0.9968
Y 0.5000 0.0000 0.5000

---

Entry 4:
! KBa2PrTe4 PBE optimized geometry; values from VASP
! **Formation energy without anion corrections**: -1545 meV per atom
! **M_tot**: 0.000 μB per atom
! **DFT total energy**: -34.7 eV/cell
! **Symmetry**: P2/m (10)
! **Mass density**: 4.90 g cm⁻³
&SYSTEM
  ibrav = 0, nat = 8, ntyp = 4
/
ATOMIC_SPECIES
Ba 137.33 Ba.upf
K 39.10 K.upf
Te 127.60 Te.upf
Pr 140.91 Pr.upf
CELL_PARAMETERS angstrom
4.8595 0.0000 0.0000
0.0001 8.3411 -0.1911
0.0000 2.9115 7.9962
ATOMIC_POSITIONS crystal
Ba 0.0000 0.0000 0.0000
K 0.5000 0.5000 0.0000
Ba 0.5000 0.0000 0.5000
Te 0.0000 0.7378 0.7342
Te 0.5000 0.2714 0.7303
Pr 0.0000 0.5000 0.5000
Te 0.0000 0.2622 0.2658
Te 0.5000 0.7286 0.2697

---

Entry 5:
! KLi2Zn PBE optimized geometry; values from VASP
! **M_tot**: 0.000 μB per atom
! **DFT total energy**: -10.7 eV/cell
! **Formation energy**: 214 meV per atom
! **Symmetry**: I-42d (122)
! **Mass density**: 1.56 g cm⁻³
&SYSTEM
  ibrav = 0, nat = 8, ntyp = 3
/
ATOMIC_SPECIES
Zn 65.41 Zn.upf
Li 6.94 Li.upf
K 39.10 K.upf
CELL_PARAMETERS angstrom
5.0830 0.0000 0.0000
0.0000 5.0830 0.0000
2.5415 2.5415 9.7323
ATOMIC_POSITIONS crystal
Zn 0.7500 0.2500 0.5000
Li 0.8750 0.0190 0.7500
Li 0.9810 0.6250 0.2500
Li 0.3750 0.2310 0.7500
K 0.5000 0.5000 0.0000
Li 0.7690 0.1250 0.2500
K 0.2500 0.7500 0.5000
Zn 0.0000 0.0000 0.0000

---

Entry 6:
! TlSi3Tc PBE optimized geometry; values from VASP
! **Formation energy without anion corrections**: 367 meV per atom
! **M_tot**: 0.000 μB per atom
! **Polymorph energy (0 for the lowest one)**: 0 meV/atom
! **DFT total energy**: -27.2 eV/cell
! **Symmetry**: Pm-3m (221)
! **Mass density**: 6.03 g cm⁻³
&SYSTEM
  ibrav = 0, nat = 5, ntyp = 3
/
ATOMIC_SPECIES
Tc 98.00 Tc.upf
Si 28.09 Si.upf
Tl 204.38 Tl.upf
CELL_PARAMETERS angstrom
-4.0257 -1.5198 -1.9845
2.1681 -3.9953 -1.3383
-1.2440 -2.0450 4.0896
ATOMIC_POSITIONS crystal
Tc 0.0000 0.0000 0.0000
Si 0.0000 0.0000 0.5000
Si 0.5000 0.0000 0.0000
Tl 0.5000 0.5000 0.5000
Si 0.0000 0.5000 0.0000

---

Entry 7:
! CaCe2P PBE optimized geometry; values from VASP
! **M_tot**: 0.587 μB per atom
! **Polymorph energy (0 for the lowest one)**: 101 meV/atom
! **DFT total energy**: -21.1 eV/cell
! **Formation energy**: -461 meV per atom
! **Symmetry**: R-3m (166)
! **Mass density**: 4.35 g cm⁻³
&SYSTEM
  ibrav = 0, nat = 4, ntyp = 3
/
ATOMIC_SPECIES
Ce 140.12 Ce.upf
P 30.97 P.upf
Ca 40.08 Ca.upf
CELL_PARAMETERS angstrom
-1.5007 -3.4890 0.3238
0.9351 -2.2096 2.9620
-8.3395 2.1237 6.6699
ATOMIC_POSITIONS crystal
Ce 0.8863 0.8863 0.3412
Ce 0.1137 0.1137 0.6588
P 0.5000 0.5000 0.5000
Ca 0.0000 0.0000 0.0000

---

Entry 8:
! NaLaHfTa2 PBE optimized geometry; values from VASP
! **M_tot**: 0.000 μB per atom
! **DFT total energy**: -30.9 eV/cell
! **Formation energy**: 1796 meV per atom
! **Symmetry**: P4/mmm (123)
! **Mass density**: 9.50 g cm⁻³
&SYSTEM
  ibrav = 0, nat = 5, ntyp = 4
/
ATOMIC_SPECIES
Na 22.99 Na.upf
Ta 180.95 Ta.upf
La 138.91 La.upf
Hf 178.49 Hf.upf
CELL_PARAMETERS angstrom
4.9446 0.0000 0.0000
0.0000 5.0233 0.0000
0.0000 0.0000 4.9446
ATOMIC_POSITIONS crystal
Na 0.0000 0.0000 0.0000
Ta 0.5000 0.0000 0.0000
La 0.5000 0.5000 0.5000
Hf 0.0000 0.5000 0.0000
Ta 0.0000 0.0000 0.5000

---

Entry 9:
! NaCa2Sm3Te6 PBE optimized geometry; values from VASP
! **Formation energy without anion corrections**: -1450 meV per atom
! **M_tot**: 0.000 μB per atom
! **DFT total energy**: -55.7 eV/cell
! **Symmetry**: C2/m (12)
! **Mass density**: 5.74 g cm⁻³
&SYSTEM
  ibrav = 0, nat = 12, ntyp = 4
/
ATOMIC_SPECIES
Te 127.60 Te.upf
Sm 150.36 Sm.upf
Ca 40.08 Ca.upf
Na 22.99 Na.upf
CELL_PARAMETERS angstrom
7.6965 -0.0019 0.0014
-3.8480 6.6655 0.0014
-1.2824 -2.2205 7.4442
ATOMIC_POSITIONS crystal
Te 0.9161 0.5820 0.7487
Sm 0.8341 0.1659 0.5000
Te 0.5820 0.9161 0.7487
Ca 0.3332 0.6668 0.0000
Te 0.2508 0.2508 0.7500
Te 0.7492 0.7492 0.2500
Te 0.4180 0.0839 0.2513
Sm 0.1659 0.8341 0.5000
Te 0.0839 0.4180 0.2513
Ca 0.6668 0.3332 0.0000
Sm 0.5000 0.5000 0.5000
Na 0.0000 0.0000 0.0000

---

Entry 10:
! RbP2RhCl PBE optimized geometry; values from VASP
! **Formation energy without anion corrections**: -301 meV per atom
! **M_tot**: 0.086 μB per atom
! **Polymorph energy (0 for the lowest one)**: 0 meV/atom
! **DFT total energy**: -22.5 eV/cell
! **Symmetry**: P4/mmm (123)
! **Mass density**: 2.88 g cm⁻³
&SYSTEM
  ibrav = 0, nat = 5, ntyp = 4
/
ATOMIC_SPECIES
Cl 35.45 Cl.upf
Rb 85.47 Rb.upf
P 30.97 P.upf
Rh 102.91 Rh.upf
CELL_PARAMETERS angstrom
-0.7585 -3.4534 2.7058
3.2348 1.4148 2.7125
-5.5325 4.5324 4.2338
ATOMIC_POSITIONS crystal
Cl 0.0000 0.0000 0.5000
Rb 0.5000 0.5000 0.5000
P 0.5000 0.0000 0.0000
P 0.0000 0.5000 0.0000
Rh 0.0000 0.0000 0.0000

---

Entry 11:
! LiSbO3 PBE optimized geometry; values from VASP
! **Formation energy without anion corrections**: -1698 meV per atom
! **M_tot**: 0.000 μB per atom
! **DFT total energy**: -117.6 eV/cell
! **Symmetry**: Pnna (52)
! **Mass density**: 5.19 g cm⁻³
&SYSTEM
  ibrav = 0, nat = 20, ntyp = 3
/
ATOMIC_SPECIES
O 16.00 O.upf
Li 6.94 Li.upf
Sb 121.76 Sb.upf
CELL_PARAMETERS angstrom
4.9898 0.0000 0.0000
0.0000 5.2708 0.0000
0.0000 0.0000 8.6051
ATOMIC_POSITIONS crystal
O 0.2051 0.9245 0.9182
O 0.7949 0.0755 0.0818
O 0.2500 0.4092 0.7500
Li 0.0000 0.2500 0.3057
O 0.7949 0.5755 0.9182
Sb 0.5000 0.7500 0.4055
Li 0.0000 0.7500 0.6943
Li 0.5000 0.2500 0.1943
Sb 0.5000 0.2500 0.5945
O 0.7500 0.5908 0.2500
O 0.2949 0.4245 0.4182
O 0.7051 0.0755 0.4182
O 0.7500 0.0908 0.7500
O 0.2949 0.9245 0.5818
Li 0.5000 0.7500 0.8057
O 0.2051 0.4245 0.0818
Sb 0.0000 0.7500 0.0945
Sb 0.0000 0.2500 0.9055
O 0.7051 0.5755 0.5818
O 0.2500 0.9092 0.2500

---

Entry 12:
! Sc2AgAs2 PBE optimized geometry; values from VASP
! **M_tot**: 0.000 μB per atom
! **Polymorph energy (0 for the lowest one)**: 168 meV/atom
! **DFT total energy**: -56.3 eV/cell
! **Formation energy**: -664 meV per atom
! **Symmetry**: P4/mbm (127)
! **Mass density**: 5.71 g cm⁻³
&SYSTEM
  ibrav = 0, nat = 10, ntyp = 3
/
ATOMIC_SPECIES
Sc 44.96 Sc.upf
As 74.92 As.upf
Ag 107.87 Ag.upf
CELL_PARAMETERS angstrom
-0.0809 2.4206 7.2498
-4.5295 -5.8551 1.9044
2.7881 -1.9365 0.6777
ATOMIC_POSITIONS crystal
Sc 0.6467 0.1467 0.0000
Sc 0.3533 0.8533 0.0000
As 0.1575 0.6575 0.5000
Sc 0.8533 0.6467 0.0000
As 0.6575 0.8425 0.5000
Ag 0.5000 0.5000 0.0000
Sc 0.1467 0.3533 0.0000
Ag 0.0000 0.0000 0.0000
As 0.8425 0.3425 0.5000
As 0.3425 0.1575 0.5000

---

Entry 13:
! Te2OsAu PBE optimized geometry; values from VASP
! **Formation energy without anion corrections**: 726 meV per atom
! **M_tot**: 0.000 μB per atom
! **Polymorph energy (0 for the lowest one)**: 548 meV/atom
! **DFT total energy**: -17.9 eV/cell
! **Symmetry**: R-3m (166)
! **Mass density**: 11.46 g cm⁻³
&SYSTEM
  ibrav = 0, nat = 4, ntyp = 3
/
ATOMIC_SPECIES
Au 196.97 Au.upf
Os 190.23 Os.upf
Te 127.60 Te.upf
CELL_PARAMETERS angstrom
-3.1213 -11.2622 2.1507
-1.4691 -10.8374 4.6473
-4.3847 -10.0366 4.6094
ATOMIC_POSITIONS crystal
Au 0.5000 0.5000 0.5000
Os 0.0000 0.0000 0.0000
Te 0.0733 0.0733 0.0733
Te 0.9267 0.9267 0.9267